Below is an optimized crystal structure of Ta2ReOs, with properties calculated at the PBE level.

## Properties
Calculated density ... 18.74 g/cm³
Magnetization ... 0.0 μB/f.u.
E_form ... -133 meV per atom

Lattice parameters (Å, degrees): 2.819 4.522 5.244 90.00 101.91 90.00
Space group Pm (No. 6)
Inequivalent atoms, fractional coordinates:
Ta 0.000 0.000 0.000
Ta 0.254 0.500 0.725
Re 0.484 0.000 0.503
Os 0.765 0.500 0.222